1.
Entry from the Alexandria database: PrDyMg after structural relaxation (GGA-PBE).

Output
The density of states at the Fermi level is 1.528 states/eV per atom. The calculation puts the offset from the most stable computed form at 239.7 meV per atom. The calculation puts the spin magnetization at 0.00 μB per cell.

abc: 4.717 4.717 8.487
angles: 90.00 90.00 90.00
Sites, in units of the cell vectors:
Pr1 0.250 0.250 0.164
Pr2 0.750 0.750 0.836
Dy1 0.250 0.250 0.754
Dy2 0.750 0.750 0.246
Mg1 0.250 0.750 0.500
Mg2 0.750 0.250 0.500

2.
Entry from the Alexandria database: ErPaCoRh after structural relaxation (GGA-PBE).

Output
The density of states at the Fermi level is 1.555 states/eV per atom. The calculation puts the offset from the most stable computed form at 196.0 meV per atom. The calculation puts the spin magnetization at 0.00 μB per cell.

abc: 4.785 4.785 4.785
angles: 60.00 60.00 60.00
Sites, in units of the cell vectors:
Er1 0.000 0.000 0.000
Pa1 0.500 0.500 0.500
Co1 0.250 0.250 0.250
Rh1 0.750 0.750 0.750

3.
Entry from the Alexandria database: InNi after structural relaxation (GGA-PBE).

Output
The density of states at the Fermi level is 0.659 states/eV per atom. For the energy, the calculation gives -4.2718 eV per atom. The calculation puts the spin magnetization at 0.00 μB per cell.

abc: 6.498 6.498 6.498
angles: 153.75 65.79 120.87
Sites, in units of the cell vectors:
In1 0.000 0.000 0.000
In2 0.126 0.827 0.298
In3 0.529 0.827 0.702
Ni1 0.435 0.435 0.000
Ni2 0.591 0.203 0.388
Ni3 0.814 0.203 0.612

4.
Entry from the Alexandria database: HoEr2Tm2Mg2 after structural relaxation (GGA-PBE).

Output
The density of states at the Fermi level is 1.078 states/eV per atom. For the energy, the calculation gives -3.7081 eV per atom. The calculation puts the spin magnetization at 0.00 μB per cell.

abc: 8.494 8.494 8.494
angles: 36.90 36.90 36.90
Sites, in units of the cell vectors:
Ho1 0.000 0.000 0.000
Er1 0.427 0.427 0.427
Er2 0.573 0.573 0.573
Tm1 0.154 0.154 0.154
Tm2 0.846 0.846 0.846
Mg1 0.289 0.289 0.289
Mg2 0.711 0.711 0.711

5.
Entry from the Alexandria database: MnNi12Ge3 after structural relaxation (GGA-PBE).

Output
The density of states at the Fermi level is 1.054 states/eV per atom. For the energy, the calculation gives -6.0046 eV per atom. The calculation puts the spin magnetization at 5.09 μB per cell.

abc: 3.582 3.582 14.236
angles: 90.00 90.00 90.00
Sites, in units of the cell vectors:
Mn1 0.000 0.000 0.000
Ni1 0.000 0.500 0.124
Ni2 0.000 0.500 0.375
Ni3 0.000 0.500 0.625
Ni4 0.000 0.500 0.876
Ni5 0.500 0.000 0.124
Ni6 0.500 0.000 0.375
Ni7 0.500 0.000 0.625
Ni8 0.500 0.000 0.876
Ni9 0.500 0.500 0.000
Ni10 0.500 0.500 0.250
Ni11 0.500 0.500 0.500
Ni12 0.500 0.500 0.750
Ge1 0.000 0.000 0.248
Ge2 0.000 0.000 0.500
Ge3 0.000 0.000 0.752

6.
Entry from the Alexandria database: K2LaPb after structural relaxation (GGA-PBE).

Output
The density of states at the Fermi level is 0.908 states/eV per atom. For the energy, the calculation gives -2.5065 eV per atom. The calculation puts the spin magnetization at 0.43 μB per cell.

abc: 13.988 13.988 13.988
angles: 15.31 15.31 15.31
Sites, in units of the cell vectors:
K1 0.242 0.242 0.242
K2 0.758 0.758 0.758
La1 0.000 0.000 0.000
Pb1 0.500 0.500 0.500

7.
Entry from the Alexandria database: Ta2Be17 after structural relaxation (GGA-PBE).

Output
The density of states at the Fermi level is 0.194 states/eV per atom. For the energy, the calculation gives -4.7767 eV per atom. The calculation puts the spin magnetization at 0.00 μB per cell.

abc: 5.550 5.550 5.550
angles: 83.01 83.01 83.01
Sites, in units of the cell vectors:
Ta1 0.160 0.160 0.160
Ta2 0.840 0.840 0.840
Be1 0.000 0.500 0.500
Be2 0.153 0.153 0.662
Be3 0.153 0.662 0.153
Be4 0.205 0.500 0.795
Be5 0.205 0.795 0.500
Be6 0.338 0.847 0.847
Be7 0.401 0.401 0.401
Be8 0.500 0.000 0.500
Be9 0.500 0.205 0.795
Be10 0.500 0.500 0.000
Be11 0.500 0.795 0.205
Be12 0.599 0.599 0.599
Be13 0.662 0.153 0.153
Be14 0.795 0.205 0.500
Be15 0.795 0.500 0.205
Be16 0.847 0.338 0.847
Be17 0.847 0.847 0.338

8.
Entry from the Alexandria database: KPrIn2I6 after structural relaxation (GGA-PBE).

Output
The density of states at the Fermi level is 0.000 states/eV per atom. The calculation puts the uncorrected formation energy at -1010 kJ/mol of formula units. The calculation puts the spin magnetization at 0.00 μB per cell.

abc: 9.102 9.102 9.102
angles: 56.90 56.90 56.90
Sites, in units of the cell vectors:
K1 0.000 0.000 0.000
Pr1 0.492 0.492 0.492
In1 0.298 0.298 0.298
In2 0.805 0.805 0.805
I1 0.118 0.688 0.406
I2 0.241 0.600 0.853
I3 0.406 0.118 0.688
I4 0.600 0.853 0.241
I5 0.688 0.406 0.118
I6 0.853 0.241 0.600

9.
Entry from the Alexandria database: CaAcCe2Pt4 after structural relaxation (GGA-PBE).

Output
The density of states at the Fermi level is 1.621 states/eV per atom. For the energy, the calculation gives -6.2421 eV per atom. The calculation puts the spin magnetization at 1.33 μB per cell.

abc: 7.322 5.915 7.056
angles: 68.08 48.54 63.38
Sites, in units of the cell vectors:
Ca1 0.000 0.000 0.000
Ac1 0.419 0.419 0.581
Ce1 0.166 0.166 0.334
Ce2 0.666 0.666 0.834
Pt1 0.150 0.675 0.325
Pt2 0.517 0.903 0.483
Pt3 0.675 0.150 0.850
Pt4 0.903 0.517 0.097

10.
Entry from the Alexandria database: RbAgPt3 after structural relaxation (GGA-PBE).

Output
The density of states at the Fermi level is 1.023 states/eV per atom. The calculation puts the offset from the most stable computed form at 0.0 meV per atom. The calculation puts the spin magnetization at 0.00 μB per cell.

abc: 5.058 5.058 5.058
angles: 90.00 90.00 90.00
Sites, in units of the cell vectors:
Rb1 0.000 0.000 0.000
Ag1 0.500 0.500 0.500
Pt1 0.000 0.500 0.500
Pt2 0.500 0.000 0.500
Pt3 0.500 0.500 0.000

11.
Entry from the Alexandria database: LaPm2Mg9 after structural relaxation (GGA-PBE).

Output
The density of states at the Fermi level is 1.021 states/eV per atom. For the energy, the calculation gives -2.4794 eV per atom. The calculation puts the spin magnetization at 0.00 μB per cell.

abc: 10.570 10.570 10.570
angles: 33.49 33.49 33.49
Sites, in units of the cell vectors:
La1 0.000 0.000 0.000
Pm1 0.144 0.144 0.144
Pm2 0.856 0.856 0.856
Mg1 0.080 0.586 0.586
Mg2 0.334 0.334 0.334
Mg3 0.414 0.414 0.920
Mg4 0.414 0.920 0.414
Mg5 0.500 0.500 0.500
Mg6 0.586 0.080 0.586
Mg7 0.586 0.586 0.080
Mg8 0.666 0.666 0.666
Mg9 0.920 0.414 0.414

12.
Entry from the Alexandria database: Y6HoTl2 after structural relaxation (GGA-PBE).

Output
The density of states at the Fermi level is 1.343 states/eV per atom. The calculation puts the offset from the most stable computed form at 0.0 meV per atom. The calculation puts the spin magnetization at 0.00 μB per cell.

abc: 6.663 6.663 12.008
angles: 107.10 107.10 32.71
Sites, in units of the cell vectors:
Y1 0.017 0.017 0.344
Y2 0.309 0.309 0.413
Y3 0.316 0.316 0.124
Y4 0.684 0.684 0.876
Y5 0.691 0.691 0.587
Y6 0.983 0.983 0.656
Ho1 0.000 0.000 0.000
Tl1 0.360 0.360 0.798
Tl2 0.640 0.640 0.202